(1)
A relaxed structure of Be2PPbW, computed with PBE.

a b c (Å): 4.2242 4.6874 4.2242
angles (deg): 90.00 90.00 90.00
With the nearest neighbours (Å) after each atom.
Element x y z (fractional)
P 0.0000 0.0000 0.0000  4 Be 2.11, 2 W 2.34
Pb 0.5000 0.5000 0.5000  4 W 2.99, 8 Be 3.15
Be 0.5000 0.0000 0.0000  2 P 2.11
Be 0.0000 0.0000 0.5000  2 P 2.11
W 0.0000 0.5000 0.0000  2 P 2.34

Summary:
calculated formation energy	0.83	eV/atom
calculated total energy	-25.4	eV per cell



(2)
A relaxed structure of Ce12ZnIr7, computed with PBE.

a b c (Å): 8.6420 8.6420 8.6420
angles (deg): 110.57 110.57 110.57
With the nearest neighbours (Å) after each atom.
Element x y z (fractional)
Ce 0.4186 0.1050 0.3076  4 Ir 2.90-3.00, 2 Ce 3.09-3.15, 1 Zn 3.20
Ce 0.6766 0.3131 0.1756  3 Ir 2.72-3.03
Ce 0.8950 0.6924 0.5814  4 Ir 2.90-3.00, 2 Ce 3.09-3.15, 1 Zn 3.20
Ce 0.3234 0.6869 0.8244  3 Ir 2.72-3.03
Ce 0.1756 0.6766 0.3131  3 Ir 2.72-3.03
Ce 0.8244 0.3234 0.6869  3 Ir 2.72-3.03
Ce 0.6924 0.5814 0.8950  4 Ir 2.90-3.00, 2 Ce 3.09-3.15, 1 Zn 3.20
Ce 0.6869 0.8244 0.3234  3 Ir 2.72-3.03
Ce 0.1050 0.3076 0.4186  4 Ir 2.90-3.00, 2 Ce 3.09-3.15, 1 Zn 3.20
Ce 0.3076 0.4186 0.1050  4 Ir 2.90-3.00, 2 Ce 3.09-3.15, 1 Zn 3.20
Ce 0.5814 0.8950 0.6924  4 Ir 2.90-3.00, 2 Ce 3.09-3.15, 1 Zn 3.20
Ce 0.3131 0.1756 0.6766  3 Ir 2.72-3.03
Ir 0.9183 0.2846 0.0388  6 Ce 2.72-3.03, 1 Zn 2.73, 2 Ir 2.96
Ir 0.9612 0.0817 0.7154  6 Ce 2.72-3.03, 1 Zn 2.73, 2 Ir 2.96
Ir 0.0388 0.9183 0.2846  6 Ce 2.72-3.03, 1 Zn 2.73, 2 Ir 2.96
Ir 0.0817 0.7154 0.9612  6 Ce 2.72-3.03, 1 Zn 2.73, 2 Ir 2.96
Ir 0.2846 0.0388 0.9183  6 Ce 2.72-3.03, 1 Zn 2.73, 2 Ir 2.96
Ir 0.7154 0.9612 0.0817  6 Ce 2.72-3.03, 1 Zn 2.73, 2 Ir 2.96
Ir 0.5000 0.5000 0.5000  6 Ce 2.90
Zn 0.0000 0.0000 0.0000  6 Ir 2.73

Summary:
calculated formation energy	-0.47	eV/atom
calculated total energy	-143.9	eV per cell



(3)
A relaxed structure of KPm2Pb9, computed with PBE.

a b c (Å): 4.9310 4.9310 15.0015
angles (deg): 90.00 90.00 90.00
With the nearest neighbours (Å) after each atom.
Element x y z (fractional)
Pb 0.0000 0.5000 0.8294  8 Pb 3.48-3.55, 2 Pm 3.53, 2 K 3.55
Pb 0.5000 0.5000 0.3339  8 Pb 3.48-3.51, 4 Pm 3.49
Pb 0.5000 0.0000 0.8294  8 Pb 3.48-3.55, 2 Pm 3.53, 2 K 3.55
Pb 0.5000 0.0000 0.1706  8 Pb 3.48-3.55, 2 Pm 3.53, 2 K 3.55
Pb 0.5000 0.5000 0.6661  8 Pb 3.48-3.51, 4 Pm 3.49
Pb 0.5000 0.5000 0.0000  4 K 3.49, 8 Pb 3.55
Pb 0.0000 0.5000 0.1706  8 Pb 3.48-3.55, 2 Pm 3.53, 2 K 3.55
Pb 0.5000 0.0000 0.5000  4 Pm 3.45, 8 Pb 3.49-3.51
Pb 0.0000 0.5000 0.5000  4 Pm 3.45, 8 Pb 3.49-3.51
K 0.0000 0.0000 0.0000  12 Pb 3.49-3.55
Pm 0.0000 0.0000 0.3388  12 Pb 3.45-3.53
Pm 0.0000 0.0000 0.6612  12 Pb 3.45-3.53

Summary:
calculated formation energy	-0.27	eV/atom
calculated total energy	-47.2	eV per cell



(4)
A relaxed structure of La2TlBiRu, computed with PBE.

a b c (Å): 5.4318 5.4318 5.2732
angles (deg): 90.00 90.00 90.00
With the nearest neighbours (Å) after each atom.
Element x y z (fractional)
Tl 0.0000 0.0000 0.5000  2 Ru 2.64
La 0.0000 0.5000 0.0000  2 Ru 2.72
La 0.5000 0.0000 0.0000  2 Ru 2.72
Bi 0.5000 0.5000 0.5000  8 La 3.79, 4 Tl 3.84
Ru 0.0000 0.0000 0.0000  2 Tl 2.64, 4 La 2.72

Summary:
calculated formation energy	-0.50	eV/atom
calculated total energy	-27.9	eV per cell



(5)
A relaxed structure of InTcCl2, computed with PBE.

a b c (Å): 9.7476 9.7476 9.7476
angles (deg): 20.06 20.06 20.06
With the nearest neighbours (Å) after each atom.
Element x y z (fractional)
In 0.0000 0.0000 0.0000  2 Cl 3.30, 6 In 3.40
Cl 0.1153 0.1153 0.1153  3 Tc 2.45
Cl 0.8847 0.8847 0.8847  3 Tc 2.45
Tc 0.5000 0.5000 0.5000  6 Cl 2.45

Summary:
polymorph energy (0 for the lowest one)	1.054	eV per formula unit
formation energy from raw total energies	-0.02	eV/atom
calculated total energy	-16.9	eV per cell



(6)
A relaxed structure of AcMgSn2Pd, computed with PBE.

a b c (Å): 4.6059 4.6059 6.8365
angles (deg): 109.69 109.69 90.00
With the nearest neighbours (Å) after each atom.
Element x y z (fractional)
Sn 0.3803 0.3803 0.7607  2 Mg 2.79, 2 Pd 2.79, 1 Sn 2.88
Sn 0.6197 0.6197 0.2393  2 Pd 2.79, 2 Mg 2.79, 1 Sn 2.88
Ac 0.0000 0.0000 0.0000  8 Sn 3.56, 4 Mg 3.79, 4 Pd 3.79
Pd 0.2500 0.7500 0.5000  4 Sn 2.79
Mg 0.7500 0.2500 0.5000  4 Sn 2.79

Summary:
calculated formation energy	-0.65	eV/atom
calculated total energy	-22.1	eV per cell



(7)
A relaxed structure of VCd2NiS, computed with PBE.

a b c (Å): 5.0155 4.3333 5.0155
angles (deg): 90.00 90.00 90.00
With the nearest neighbours (Å) after each atom.
Element x y z (fractional)
Cd 0.5000 0.0000 0.0000  2 S 2.51
Cd 0.0000 0.0000 0.5000  2 S 2.51
Ni 0.5000 0.5000 0.5000  8 Cd 3.31, 4 V 3.55
V 0.0000 0.5000 0.0000  2 S 2.17
S 0.0000 0.0000 0.0000  2 V 2.17

Summary:
formation energy from raw total energies	0.72	eV/atom
calculated total energy	-17.3	eV per cell



(8)
A relaxed structure of CeDyPa2, computed with PBE.

a b c (Å): 4.9429 4.6258 4.6258
angles (deg): 90.00 90.00 90.00
With the nearest neighbours (Å) after each atom.
Element x y z (fractional)
Pa 0.0000 0.0000 0.5000  4 Pa 3.27, 4 Dy 3.38, 4 Ce 3.38
Pa 0.0000 0.5000 0.0000  4 Pa 3.27, 4 Ce 3.38, 4 Dy 3.38
Dy 0.5000 0.0000 0.0000  4 Ce 3.27, 8 Pa 3.38
Ce 0.5000 0.5000 0.5000  4 Dy 3.27, 8 Pa 3.38

Summary:
polymorph energy (0 for the lowest one)	0.154	eV per formula unit
calculated formation energy	0.19	eV/atom
calculated total energy	-28.8	eV per cell